DyHgPt | PBE | relaxed

a = 4.7329 Å, b = 4.7329 Å, c = 3.3972 Å
α = 90.00°, β = 90.00°, γ = 120.00°
Space group P-6m2 (No. 187)
Symmetry-distinct sites (fractional):
Dy 0.0000 0.0000 0.0000
Hg 0.3333 0.6667 0.5000
Pt 0.6667 0.3333 0.5000

Values from the calculation:
**Crystal system**: hexagonal
**E**: -4.331 eV per atom
**ΔH_f (0 K)**: -0.68 eV/atom

YInAu2 | PBE | relaxed

a = 4.0631 Å, b = 4.0631 Å, c = 21.0873 Å
α = 90.00°, β = 90.00°, γ = 120.00°
Space group R3m (No. 160, hexagonal axes)
Symmetry-distinct sites (fractional):
Y 0.0000 0.0000 0.0000
In 0.0000 0.0000 0.1692
Au 0.0000 0.0000 0.4200
Au 0.0000 0.0000 0.5801

Values from the calculation:
**Crystal system**: trigonal
**E**: -4.449 eV per atom
**ΔH_f (0 K)**: -0.51 eV/atom

Al2FePt2 | PBE | relaxed

a = 7.345 Å, b = 7.345 Å, c = 2.805 Å
α = 90.00°, β = 90.00°, γ = 90.00°
Space group P4/mbm (No. 127)
Symmetry-distinct sites (fractional):
Al 0.156 0.344 0.000
Fe 0.000 0.000 0.500
Pt 0.143 0.643 0.500

Values from the calculation:
**ΔE to the lowest computed polymorph**: 0.000 eV/atom
**Crystal system**: tetragonal
**E**: -6.233 eV per atom
**ΔH_f (0 K)**: -0.63 eV/atom

MgZr2Mo | PBE | relaxed

a = 2.884 Å, b = 2.884 Å, c = 9.723 Å
α = 90.00°, β = 90.00°, γ = 90.00°
Space group P4mm (No. 99)
Symmetry-distinct sites (fractional):
Mg 0.000 0.000 0.000
Zr 0.000 0.000 0.470
Zr 0.500 0.500 0.732
Mo 0.500 0.500 0.225

Values from the calculation:
**ΔE to the lowest computed polymorph**: 0.261 eV/atom
**Crystal system**: tetragonal
**E**: -7.141 eV per atom
**ΔH_f (0 K)**: 0.24 eV/atom

UPbI6 | PBE | relaxed

a = 7.766 Å, b = 7.780 Å, c = 8.382 Å
α = 90.09°, β = 117.56°, γ = 119.94°
Space group P-1 (No. 2)
Symmetry-distinct sites (fractional):
U 0.000 0.000 0.000
Pb 0.000 0.500 0.500
I 0.162 0.233 0.757
I 0.173 0.405 0.242
I 0.475 0.070 0.244

Values from the calculation:
**Crystal system**: triclinic
**E**: -3.754 eV per atom
**Formation energy (no corrections)**: -716 meV/atom

Tb2Nd3Tm6Zr | PBE | relaxed

a = 6.110 Å, b = 10.574 Å, c = 11.579 Å
α = 90.00°, β = 100.11°, γ = 90.00°
Space group C2/m (No. 12)
Symmetry-distinct sites (fractional):
Tb 0.000 0.167 0.000
Nd 0.000 0.000 0.500
Nd 0.000 0.334 0.500
Tm 0.243 0.337 0.242
Tm 0.246 0.500 0.758
Zr 0.000 0.500 0.000

Values from the calculation:
**Crystal system**: monoclinic
**E**: -4.865 eV per atom
**ΔH_f (0 K)**: 0.05 eV/atom